[1]
First-principles (PBE) data for Dy8GaTe3Se3 after structural relaxation, as listed in the Alexandria database.

Lattice parameters (Å, degrees): 8.311 8.311 8.502 119.26 90.00 120.00
Fractional positions:
1 Dy 0.240 0.481 0.724
2 Dy 0.743 0.983 0.724
3 Dy 0.257 0.017 0.276
4 Dy 0.760 0.519 0.276
5 Dy 0.240 0.983 0.724
6 Dy 0.261 0.521 0.282
7 Dy 0.739 0.479 0.718
8 Dy 0.760 0.017 0.276
9 Se 0.500 0.500 0.500
10 Se 0.500 0.000 0.500
11 Se 0.000 0.500 0.500
12 Ga 0.000 0.000 0.500
13 Te 0.000 0.000 0.000
14 Te 0.000 0.500 0.000
15 Te 0.500 0.500 0.000

Properties
The density of states at the Fermi level comes out at 5.994 states/eV/f.u. The total energy is -5.262 eV per atom. Its space group is No. 166. The uncorrected formation energy is -123.57 kJ per mole of atoms.


[2]
First-principles (PBE) data for Y2Be after structural relaxation, as listed in the Alexandria database.

Lattice parameters (Å, degrees): 3.585 6.413 7.108 90.00 90.00 90.00
Fractional positions:
1 Y 0.000 0.775 0.331
2 Y 0.500 0.275 0.169
3 Y 0.500 0.725 0.831
4 Y 0.000 0.225 0.669
5 Be 0.500 0.500 0.500
6 Be 0.000 0.000 0.000

Properties
Its energy of formation from the pure elements is 0.293 eV per atom. The density of states at the Fermi level comes out at 4.619 states/eV/f.u. The calculation puts the excess energy over the best structure of this formula in the dataset at 235 meV/atom. The total energy is -5.259 eV per atom. Its space group is No. 58.


[3]
First-principles (PBE) data for Ca2MgHgPt after structural relaxation, as listed in the Alexandria database.

Lattice parameters (Å, degrees): 5.503 5.069 5.503 90.00 90.00 90.00
Fractional positions:
1 Mg 0.000 0.500 0.000
2 Ca 0.500 0.000 0.000
3 Ca 0.000 0.000 0.500
4 Pt 0.000 0.000 0.000
5 Hg 0.500 0.500 0.500

Properties
Its energy of formation from the pure elements is -0.500 eV per atom. The density of states at the Fermi level comes out at 2.062 states/eV/f.u. The total energy is -2.889 eV per atom. Its space group is No. 123.


[4]
First-principles (PBE) data for MgTi2Nb2Pb5O15 after structural relaxation, as listed in the Alexandria database.

Lattice parameters (Å, degrees): 6.030 6.030 12.029 81.15 81.15 55.15
Fractional positions:
1 O 0.879 0.365 0.804
2 O 0.478 0.982 0.007
3 O 0.777 0.274 0.608
4 O 0.863 0.863 0.807
5 O 0.672 0.179 0.414
6 O 0.072 0.584 0.216
7 O 0.982 0.478 0.007
8 O 0.365 0.879 0.804
9 O 0.584 0.072 0.216
10 O 0.270 0.270 0.609
11 O 0.179 0.672 0.414
12 O 0.078 0.078 0.212
13 O 0.672 0.672 0.416
14 O 0.502 0.502 0.989
15 O 0.274 0.777 0.608
16 Pb 0.435 0.435 0.796
17 Pb 0.838 0.838 0.593
18 Pb 0.241 0.241 0.385
19 Pb 0.647 0.647 0.181
20 Pb 0.038 0.038 0.981
21 Ti 0.518 0.518 0.498
22 Ti 0.115 0.115 0.687
23 Nb 0.702 0.702 0.902
24 Nb 0.916 0.916 0.294
25 Mg 0.329 0.329 0.089

Properties
The density of states at the Fermi level comes out at 0.000 states/eV/f.u. The total energy is -7.364 eV per atom. Its space group is No. 8. The uncorrected formation energy is -207.11 kJ per mole of atoms.